Entry 1:
Computed, not measured: V2ZnH after structural relaxation at the PBE level of DFT.

Cell: 5.294 5.294 7.236 Å, 90.00 90.00 90.00°
Space group I-42d (No. 122)
Asymmetric unit:
V1 0.029 0.250 0.125
Zn1 0.000 0.000 0.500
H1 0.000 0.000 0.000

Results
VASP energy	-5.35	eV per atom
magnetization	0.00	μB per atom
crystal system	tetragonal
polymorph energy (0 for the lowest one)	412.1	meV/atom

Entry 2:
Computed, not measured: V3ZnH after structural relaxation at the PBE level of DFT.

Cell: 3.830 3.830 3.830 Å, 90.00 90.00 90.00°
Space group Pm-3m (No. 221)
Asymmetric unit:
V1 0.000 0.000 0.500
Zn1 0.500 0.500 0.500
H1 0.000 0.000 0.000

Results
VASP energy	-6.46	eV per atom
magnetization	0.11	μB per atom
crystal system	cubic
polymorph energy (0 for the lowest one)	0.0	meV/atom

Entry 3:
Computed, not measured: VZn3H after structural relaxation at the PBE level of DFT.

Cell: 3.942 3.942 3.942 Å, 90.00 90.00 90.00°
Space group Pm-3m (No. 221)
Asymmetric unit:
V1 0.000 0.000 0.000
Zn1 0.000 0.500 0.500
H1 0.500 0.500 0.500

Results
VASP energy	-2.96	eV per atom
magnetization	0.36	μB per atom
crystal system	cubic
polymorph energy (0 for the lowest one)	0.0	meV/atom

Entry 4:
Computed, not measured: VZnH2 after structural relaxation at the PBE level of DFT.

Cell: 4.111 4.111 8.391 Å, 90.00 90.00 90.00°
Space group I-42d (No. 122)
Asymmetric unit:
V1 0.000 0.000 0.000
Zn1 0.000 0.000 0.500
H1 0.221 0.250 0.125

Results
VASP energy	-4.11	eV per atom
magnetization	0.00	μB per atom
crystal system	tetragonal
polymorph energy (0 for the lowest one)	157.4	meV/atom

Entry 5:
Computed, not measured: VZnH3 after structural relaxation at the PBE level of DFT.

Cell: 3.424 3.424 3.424 Å, 90.00 90.00 90.00°
Space group Pm-3m (No. 221)
Asymmetric unit:
V1 0.000 0.000 0.000
Zn1 0.500 0.500 0.500
H1 0.000 0.500 0.500

Results
VASP energy	-3.50	eV per atom
magnetization	0.40	μB per atom
crystal system	cubic
polymorph energy (0 for the lowest one)	411.1	meV/atom

Entry 6:
Computed, not measured: VZn2H after structural relaxation at the PBE level of DFT.

Cell: 6.012 6.012 6.012 Å, 90.00 90.00 90.00°
Space group Fm-3m (No. 225)
Asymmetric unit:
V1 0.000 0.000 0.000
Zn1 0.250 0.250 0.250
H1 0.000 0.000 0.500

Results
VASP energy	-2.89	eV per atom
magnetization	0.60	μB per atom
crystal system	cubic
polymorph energy (0 for the lowest one)	289.2	meV/atom

Entry 7:
Computed, not measured: VZn3H after structural relaxation at the PBE level of DFT.

Cell: 5.086 5.086 5.086 Å, 90.00 90.00 90.00°
Space group Pm-3m (No. 221)
Asymmetric unit:
V1 0.000 0.000 0.000
Zn1 0.000 0.000 0.500
H1 0.500 0.500 0.500

Results
VASP energy	-2.03	eV per atom
magnetization	0.95	μB per atom
crystal system	cubic
polymorph energy (0 for the lowest one)	928.1	meV/atom

Entry 8:
Computed, not measured: V6ZnH8 after structural relaxation at the PBE level of DFT.

Cell: 7.5929 7.5929 7.0591 Å, 90.00 90.00 120.00°
Space group R-3 (No. 148, hexagonal axes)
Asymmetric unit:
V1 0.0621 0.2516 0.1768
Zn1 0.0000 0.0000 0.5000
H1 0.0000 0.0000 0.2331
H2 0.0532 0.2419 0.9185

Results
VASP energy	-5.62	eV per atom
magnetization	0.00	μB per atom
crystal system	trigonal

Entry 9:
Computed, not measured: V2ZnH after structural relaxation at the PBE level of DFT.

Cell: 2.9874 2.9874 17.9566 Å, 90.00 90.00 120.00°
Space group R-3m (No. 166, hexagonal axes)
Asymmetric unit:
V1 0.0000 0.0000 0.2152
Zn1 0.0000 0.0000 0.0000
H1 0.0000 0.0000 0.5000

Results
VASP energy	-5.64	eV per atom
magnetization	0.00	μB per atom
crystal system	trigonal
polymorph energy (0 for the lowest one)	127.9	meV/atom

Entry 10:
Computed, not measured: V2ZnH after structural relaxation at the PBE level of DFT.

Cell: 5.739 5.739 5.739 Å, 90.00 90.00 90.00°
Space group Fm-3m (No. 225)
Asymmetric unit:
V1 0.250 0.250 0.250
Zn1 0.000 0.000 0.000
H1 0.000 0.000 0.500

Results
VASP energy	-5.10	eV per atom
magnetization	0.00	μB per atom
crystal system	cubic
polymorph energy (0 for the lowest one)	665.6	meV/atom

Entry 11:
Computed, not measured: V3ZnH3 after structural relaxation at the PBE level of DFT.

Cell: 5.4640 5.4640 16.8469 Å, 90.00 90.00 120.00°
Space group R-3 (No. 148, hexagonal axes)
Asymmetric unit:
V1 0.0014 0.3422 0.1173
Zn1 0.0000 0.0000 0.3335
H1 0.9997 0.3231 0.8904

Results
VASP energy	-5.44	eV per atom
magnetization	0.00	μB per atom
crystal system	trigonal
polymorph energy (0 for the lowest one)	251.1	meV/atom

Entry 12:
Computed, not measured: VZnH2 after structural relaxation at the PBE level of DFT.

Cell: 5.103 5.103 5.103 Å, 90.00 90.00 90.00°
Space group Fm-3m (No. 225)
Asymmetric unit:
V1 0.000 0.000 0.000
Zn1 0.000 0.000 0.500
H1 0.250 0.250 0.250

Results
VASP energy	-3.82	eV per atom
magnetization	0.23	μB per atom
crystal system	cubic
polymorph energy (0 for the lowest one)	443.2	meV/atom

Entry 13:
Computed, not measured: V2ZnH after structural relaxation at the PBE level of DFT.

Cell: 2.9805 2.9805 18.1755 Å, 90.00 90.00 120.00°
Space group R3m (No. 160, hexagonal axes)
Asymmetric unit:
V1 0.0000 0.0000 0.0000
V2 0.0000 0.0000 0.2382
Zn1 0.0000 0.0000 0.4531
H1 0.0000 0.0000 0.6196

Results
VASP energy	-5.63	eV per atom
magnetization	0.00	μB per atom
crystal system	trigonal
polymorph energy (0 for the lowest one)	139.5	meV/atom

Entry 14:
Computed, not measured: V2ZnH after structural relaxation at the PBE level of DFT.

Cell: 8.561 4.534 4.550 Å, 90.00 91.77 90.00°
Space group C2/c (No. 15)
Asymmetric unit:
V1 0.077 0.229 0.488
Zn1 0.250 0.250 0.000
H1 0.000 0.487 0.750

Results
VASP energy	-5.77	eV per atom
magnetization	0.00	μB per atom
crystal system	monoclinic
polymorph energy (0 for the lowest one)	0.0	meV/atom